(1)
# PBEsol ScCo4Cu, optimized geometry
# E_tot   -7.090 eV per atom
data_ScCo4Cu
_cell_length_a 6.6317
_cell_length_b 6.6317
_cell_length_c 6.6317
_cell_angle_alpha 90.00
_cell_angle_beta 90.00
_cell_angle_gamma 90.00
_space_group_name_H-M_alt 'F -4 3 m'
_space_group_IT_number 216
_space_group_name_Hall 'F -4 2 3'
loop_
_atom_site_label
_atom_site_type_symbol
_atom_site_fract_x
_atom_site_fract_y
_atom_site_fract_z
Sc1 Sc 0.0000 0.0000 0.0000
Co1 Co 0.1244 0.1244 0.6244
Cu1 Cu 0.2500 0.2500 0.2500


(2)
# PBEsol ScCo2Cu, optimized geometry
# E_tot   -6.306 eV per atom
data_ScCo2Cu
_cell_length_a 2.6525
_cell_length_b 2.6525
_cell_length_c 25.3894
_cell_angle_alpha 90.00
_cell_angle_beta 90.00
_cell_angle_gamma 120.00
_space_group_name_H-M_alt 'R 3 m'
_space_group_IT_number 160
_space_group_name_Hall 'R 3 -2"'
loop_
_atom_site_label
_atom_site_type_symbol
_atom_site_fract_x
_atom_site_fract_y
_atom_site_fract_z
Sc1 Sc 0.0000 0.0000 0.0000
Co1 Co 0.0000 0.0000 0.2443
Co2 Co 0.0000 0.0000 0.5055
Cu1 Cu 0.0000 0.0000 0.7594


(3)
# PBEsol ScCoCu2, optimized geometry
# E_tot   -5.902 eV per atom
data_ScCoCu2
_cell_length_a 3.5569
_cell_length_b 3.5569
_cell_length_c 8.0525
_cell_angle_alpha 90.00
_cell_angle_beta 90.00
_cell_angle_gamma 90.00
_space_group_name_H-M_alt 'I 4/m m m'
_space_group_IT_number 139
_space_group_name_Hall '-I 4 2'
loop_
_atom_site_label
_atom_site_type_symbol
_atom_site_fract_x
_atom_site_fract_y
_atom_site_fract_z
Sc1 Sc 0.0000 0.0000 0.0000
Co1 Co 0.0000 0.0000 0.5000
Cu1 Cu 0.0000 0.5000 0.2500


(4)
# PBEsol ScCoCu, optimized geometry
# E_tot   -6.052 eV per atom
data_ScCoCu
_cell_length_a 5.7226
_cell_length_b 5.7226
_cell_length_c 5.7226
_cell_angle_alpha 90.00
_cell_angle_beta 90.00
_cell_angle_gamma 90.00
_space_group_name_H-M_alt 'F -4 3 m'
_space_group_IT_number 216
_space_group_name_Hall 'F -4 2 3'
loop_
_atom_site_label
_atom_site_type_symbol
_atom_site_fract_x
_atom_site_fract_y
_atom_site_fract_z
Sc1 Sc 0.0000 0.0000 0.0000
Co1 Co 0.2500 0.2500 0.7500
Cu1 Cu 0.0000 0.0000 0.5000


no.,energy of formation from the pure elements (meV per atom)
1,-109
2,297
3,-150
4,173